Entry 1:
VASP calculation (PBE-GGA) on Tl2FeRe after structural relaxation.

abc: 4.757 4.757 4.757
angles: 60.00 60.00 60.00
Sites, in units of the cell vectors:
Tl 0.000 0.000 0.000
Tl 0.250 0.250 0.250
Fe 0.500 0.500 0.500
Re 0.750 0.750 0.750

## Properties
As for the calculated total energy: -20.7 eV per formula unit. As for the energy of formation from the pure elements: 475 kJ/mol of formula units.

Entry 2:
VASP calculation (PBE-GGA) on TlFeRe2 after structural relaxation.

abc: 4.799 4.799 4.799
angles: 130.01 130.01 73.39
Sites, in units of the cell vectors:
Tl 0.000 0.000 0.000
Fe 0.250 0.750 0.500
Re 0.500 0.500 0.000
Re 0.750 0.250 0.500

## Properties
As for the calculated total energy: -32.6 eV per formula unit. As for the energy of formation from the pure elements: 304 kJ/mol of formula units.

Entry 3:
VASP calculation (PBE-GGA) on TlFe2Re after structural relaxation.

abc: 4.661 4.661 4.867
angles: 101.63 101.63 36.18
Sites, in units of the cell vectors:
Tl 0.000 0.000 0.000
Fe 0.239 0.239 0.731
Fe 0.508 0.508 0.511
Re 0.767 0.767 0.326

## Properties
As for the calculated total energy: -29.4 eV per formula unit. As for the energy of formation from the pure elements: 230 kJ/mol of formula units.

Entry 4:
VASP calculation (PBE-GGA) on TlFeRe2 after structural relaxation.

abc: 3.031 3.031 7.107
angles: 90.00 90.00 90.00
Sites, in units of the cell vectors:
Tl 0.000 0.000 0.000
Fe 0.000 0.000 0.500
Re 0.500 0.500 0.311
Re 0.500 0.500 0.689

## Properties
As for the calculated total energy: -33.0 eV per formula unit. As for the energy of formation from the pure elements: 260 kJ/mol of formula units.

Entry 5:
VASP calculation (PBE-GGA) on TlFeRe2 after structural relaxation.

abc: 5.780 5.780 5.780
angles: 101.07 101.07 128.02
Sites, in units of the cell vectors:
Tl 0.000 0.000 0.000
Tl 0.750 0.250 0.500
Fe 0.250 0.750 0.500
Fe 0.500 0.500 0.000
Re 0.192 0.625 0.067
Re 0.375 0.442 0.567
Re 0.558 0.125 0.933
Re 0.875 0.808 0.433

## Properties
As for the calculated total energy: -31.4 eV per formula unit. As for the energy of formation from the pure elements: 418 kJ/mol of formula units.

Entry 6:
VASP calculation (PBE-GGA) on TlFeRe3 after structural relaxation.

abc: 4.484 4.484 4.484
angles: 90.00 90.00 90.00
Sites, in units of the cell vectors:
Tl 0.000 0.000 0.000
Fe 0.500 0.500 0.500
Re 0.000 0.500 0.500
Re 0.500 0.000 0.500
Re 0.500 0.500 0.000

## Properties
As for the calculated total energy: -40.0 eV per formula unit. As for the energy of formation from the pure elements: 787 kJ/mol of formula units.

Entry 7:
VASP calculation (PBE-GGA) on Tl2FeRe after structural relaxation.

abc: 3.463 3.463 6.129
angles: 90.00 90.00 90.00
Sites, in units of the cell vectors:
Tl 0.000 0.000 0.246
Tl 0.000 0.000 0.754
Fe 0.500 0.500 0.000
Re 0.500 0.500 0.500

## Properties
As for the calculated total energy: -21.4 eV per formula unit. As for the energy of formation from the pure elements: 412 kJ/mol of formula units.

Entry 8:
VASP calculation (PBE-GGA) on TlFeRe2 after structural relaxation.

abc: 4.473 4.473 4.473
angles: 60.00 60.00 60.00
Sites, in units of the cell vectors:
Tl 0.000 0.000 0.000
Fe 0.500 0.500 0.500
Re 0.250 0.250 0.250
Re 0.750 0.750 0.750

## Properties
As for the calculated total energy: -32.0 eV per formula unit. As for the energy of formation from the pure elements: 362 kJ/mol of formula units.